DFT (PBE) results for an optimized crystal structure of NaHoSnAu.

Cell lengths 5.1148, 5.1148, 5.1148 Å; angles 60.00, 60.00, 60.00 degrees
With the nearest neighbours (Å) after each atom.
Atoms (fractional coordinates):
Na1 0.5000 0.5000 0.5000  4 Au 3.13, 4 Sn 3.13
Au1 0.7500 0.7500 0.7500  4 Na 3.13, 4 Ho 3.13
Ho1 0.0000 0.0000 0.0000  4 Sn 3.13, 4 Au 3.13
Sn1 0.2500 0.2500 0.2500  4 Na 3.13, 4 Ho 3.13

Computed properties:
DOS(E_F): 2.61 states/eV per cell
energy of formation from the pure elements: -47.5 kJ per mole of atoms
SG: F-43m, No. 216